Here is AlCd2Os after structural relaxation from Alexandria. Energies are from GGA-PBE.

```
data_AlCd2Os
_chemical_formula_sum 'Al2 Cd4 Os2'
_cell_length_a 3.0529
_cell_length_b 4.9426
_cell_length_c 9.6503
_cell_angle_alpha 90.00
_cell_angle_beta 90.00
_cell_angle_gamma 90.00
_symmetry_space_group_name_H-M 'C m m 2'
_symmetry_Int_Tables_number 35
_symmetry_space_group_name_Hall 'C 2 -2'
loop_
_atom_site_label
_atom_site_fract_x
_atom_site_fract_y
_atom_site_fract_z
Al1 0.0000 0.0000 0.0000
Cd1 0.0000 0.0000 0.5518
Cd2 0.0000 0.5000 0.2629
Os1 0.0000 0.5000 0.8028
```

Output
* formation energy: 0.28 eV per atom
* density: 10.08 g/cm³
* total magnetization: 0.00 μB/f.u.